(1)
DFT (SCAN) results for a PBEsol-optimized structure of Ba2MgHg.

abc: 5.922 5.922 5.922
angles: 60.00 60.00 60.00
Atoms (fractional coordinates):
Ba (0.750, 0.750, 0.750)
Ba (0.250, 0.250, 0.250)
Mg (0.500, 0.500, 0.500)
Hg (0.000, 0.000, 0.000)

E_tot (eV/cell): -153.56
Symmetry: Fm-3m
Calculated formation energy (eV per atom): -0.33
ΔE to the lowest computed polymorph (meV per atom): 39


(2)
DFT (SCAN) results for a PBEsol-optimized structure of TaZn5.

abc: 3.856 3.952 5.967
angles: 90.00 108.85 90.00
Atoms (fractional coordinates):
Zn (0.824, 0.000, 0.648)
Zn (0.000, 0.500, 0.000)
Zn (0.176, 0.000, 0.352)
Zn (0.664, 0.500, 0.327)
Zn (0.336, 0.500, 0.673)
Ta (0.500, 0.000, 0.000)

E_tot (eV/cell): -134.33
Symmetry: Cmmm
Calculated formation energy (eV per atom): -0.03


(3)
DFT (SCAN) results for a PBEsol-optimized structure of Zr2AsBr.

abc: 3.347 4.714 4.714
angles: 90.00 90.00 90.00
Atoms (fractional coordinates):
Zr (0.000, 0.000, 0.500)
Zr (0.000, 0.500, 0.000)
Br (0.500, 0.000, 0.000)
As (0.500, 0.500, 0.500)

Formation energy from raw total energies (eV per atom): -0.742
E_tot (eV/cell): -104.01
Symmetry: P4/mmm